# ScSbMoF2

Crystalline ScSbMoF2 at its relaxed geometry (GGA+U, Alexandria).

Unit cell a=4.0213 b=4.0213 c=6.6613 alpha=90.00 beta=90.00 gamma=90.00
With the nearest neighbours (Å) after each atom.
Element x y z (fractional)
Sc  0.0000  0.0000  0.0000  4 F 2.01
Sb  0.5000  0.5000  0.5000  4 Mo 2.84
Mo  0.0000  0.0000  0.5000  4 Sb 2.84
F  0.0000  0.5000  0.0000  2 Sc 2.01
F  0.5000  0.0000  0.0000  2 Sc 2.01

Results
* D(E_F): 0.372 states/eV/atom
* total DFT energy (no corrections): -5.90 eV per atom
* calculated volume: 21.544 Å³ per atom